[1]
VASP calculation (PBE) on an optimized crystal structure of CdSbPb6.

Energy   -26.8 eV/cell
E_form (uncorrected)   0.06 eV per atom
Symmetry   P4/mmm (123)

Cell lengths 3.5868, 8.2528, 8.2528 Å; angles 90.02, 90.00, 90.00 degrees
With the nearest neighbours (Å) after each atom.
Fractional coordinates of all 8 atoms:
1 Cd 0.5000 0.5000 0.5000  8 Pb 3.49, 2 Cd 3.59
2 Sb 0.5000 0.0000 0.0000  8 Pb 3.36, 2 Sb 3.59
3 Pb 0.0000 0.7565 0.2435  2 Sb 3.36, 6 Pb 3.43-3.59, 2 Cd 3.49
4 Pb 0.0000 0.2435 0.7565  2 Sb 3.36, 6 Pb 3.43-3.59, 2 Cd 3.49
5 Pb 0.0000 0.7562 0.7562  2 Sb 3.36, 6 Pb 3.43-3.59, 2 Cd 3.49
6 Pb 0.0000 0.2438 0.2438  2 Sb 3.36, 6 Pb 3.43-3.59, 2 Cd 3.49
7 Pb 0.5000 0.5000 0.0000  10 Pb 3.43-3.59
8 Pb 0.5000 0.0000 0.5000  10 Pb 3.43-3.59

[2]
VASP calculation (PBE) on an optimized crystal structure of CdSb4Pb.

Energy   -19.7 eV/cell
E_form (uncorrected)   0.23 eV per atom
Symmetry   F-43m (216)

Cell lengths 6.3316, 6.3316, 6.3316 Å; angles 60.00, 60.00, 60.00 degrees
With the nearest neighbours (Å) after each atom.
Fractional coordinates of all 6 atoms:
1 Cd 0.7500 0.7500 0.7500  12 Sb 3.71, 4 Pb 3.88
2 Sb 0.8743 0.3752 0.3752  6 Sb 3.16-3.17
3 Sb 0.3752 0.3752 0.8743  6 Sb 3.16-3.17
4 Sb 0.3752 0.8743 0.3752  6 Sb 3.16-3.17
5 Sb 0.3752 0.3752 0.3752  6 Sb 3.16-3.17
6 Pb 0.0000 0.0000 0.0000  12 Sb 3.71, 4 Cd 3.88